MnAl2ReF: relaxed, GGA+U.

```
MnAl2ReF
1.0
4.625 0.000 0.000
0.000 4.625 0.000
0.000 0.000 4.311
Mn Al Re F
1 2 1 1
direct
0.000 0.000 0.000
0.000 0.500 0.000
0.500 0.000 0.000
0.000 0.000 0.500
0.500 0.500 0.500
```

Computed properties:
Space group: No. 123
Total DFT energy (no corrections), eV/atom: -4.7750

CaVAgF6: relaxed, GGA+U.

```
CaVAgF6
1.0
5.188 0.000 0.000
0.000 5.188 0.000
0.000 0.000 10.354
Ca V Ag F
2 2 2 12
direct
0.000 0.000 0.000
0.500 0.500 0.500
0.000 0.000 0.664
0.500 0.500 0.164
0.000 0.000 0.329
0.500 0.500 0.829
0.174 0.174 0.813
0.193 0.193 0.528
0.232 0.232 0.152
0.268 0.732 0.652
0.307 0.693 0.028
0.326 0.674 0.313
0.674 0.326 0.313
0.693 0.307 0.028
0.732 0.268 0.652
0.768 0.768 0.152
0.807 0.807 0.528
0.826 0.826 0.813
```

Computed properties:
Space group: No. 102
Total DFT energy (no corrections), eV/atom: -5.4234